1.
Density functional theory data (GGA-PBE) for a relaxed structure of FeSnRhSe2.

Structure (CIF):
```
data_FeSnRhSe2
_space_group_name_H-M_alt 'P 1'
_space_group_IT_number 1
_space_group_name_Hall 'P 1'
_cell_length_a 4.9166
_cell_length_b 4.7214
_cell_length_c 4.9166
_cell_angle_alpha 90.00
_cell_angle_beta 90.00
_cell_angle_gamma 90.00
loop_
_atom_site_label
_atom_site_type_symbol
_atom_site_fract_x
_atom_site_fract_y
_atom_site_fract_z
Fe1 Fe 0.0000 0.5000 0.0000
Se1 Se 0.5000 0.0000 0.0000
Se2 Se 0.0000 0.0000 0.5000
Rh1 Rh 0.0000 0.0000 0.0000
Sn1 Sn 0.5000 0.5000 0.5000
```

- Energy: -24.8 eV per formula unit

2.
Density functional theory data (GGA-PBE) for a relaxed structure of SrFe2RhSe8.

Structure (CIF):
```
data_SrFe2RhSe8
_space_group_name_H-M_alt 'P 1'
_space_group_IT_number 1
_space_group_name_Hall 'P 1'
_cell_length_a 6.0156
_cell_length_b 6.0156
_cell_length_c 8.7357
_cell_angle_alpha 90.00
_cell_angle_beta 90.00
_cell_angle_gamma 120.00
loop_
_atom_site_label
_atom_site_type_symbol
_atom_site_fract_x
_atom_site_fract_y
_atom_site_fract_z
Se1 Se 0.9868 0.3378 0.6598
Se2 Se 0.6667 0.3333 0.9922
Fe1 Fe 0.6667 0.3333 0.2425
Sr1 Sr 0.0000 0.0000 0.0000
Se3 Se 0.3510 0.0132 0.6598
Fe2 Fe 0.3333 0.6667 0.7575
Se4 Se 0.6490 0.9868 0.3402
Se5 Se 0.6622 0.6490 0.6598
Rh1 Rh 0.0000 0.0000 0.5000
Se6 Se 0.0132 0.6622 0.3402
Se7 Se 0.3333 0.6667 0.0078
Se8 Se 0.3378 0.3510 0.3402
```

- Energy: -58.2 eV per formula unit

3.
Density functional theory data (GGA-PBE) for a relaxed structure of TlFeRhSe3.

Structure (CIF):
```
data_TlFeRhSe3
_space_group_name_H-M_alt 'P 1'
_space_group_IT_number 1
_space_group_name_Hall 'P 1'
_cell_length_a 3.7494
_cell_length_b 8.0545
_cell_length_c 10.0080
_cell_angle_alpha 114.57
_cell_angle_beta 90.00
_cell_angle_gamma 90.00
loop_
_atom_site_label
_atom_site_type_symbol
_atom_site_fract_x
_atom_site_fract_y
_atom_site_fract_z
Se1 Se 0.2500 0.5467 0.8845
Se2 Se 0.7500 0.2535 0.5642
Tl1 Tl 0.2500 0.2601 0.2843
Tl2 Tl 0.7500 0.7399 0.7157
Se3 Se 0.7500 0.4533 0.1155
Rh1 Rh 0.2500 0.6779 0.1582
Se4 Se 0.2500 0.7465 0.4358
Rh2 Rh 0.7500 0.3221 0.8418
Fe1 Fe 0.2500 0.0746 0.5943
Se5 Se 0.2500 0.1059 0.8433
Se6 Se 0.7500 0.8941 0.1567
Fe2 Fe 0.7500 0.9254 0.4057
```

- Energy: -30.7 eV per formula unit

Number 1: density 6.33 g cm⁻³. Number 2: density 5.66 g cm⁻³. Number 3: density 7.25 g cm⁻³.